Density functional theory data (PBE-GGA) for an optimized crystal structure of Cr8Ru.

```
Cr8Ru
1.0
-6.073 -1.128 1.082
1.334 -1.711 1.886
0.571 3.631 5.081
Cr Ru
8 1
direct
0.000 0.672 0.655 Cr
0.345 0.672 0.000 Cr
0.335 0.000 0.335 Cr
0.000 0.328 0.345 Cr
0.655 0.328 0.000 Cr
0.665 0.000 0.665 Cr
0.335 0.335 0.665 Cr
0.665 0.665 0.335 Cr
0.000 0.000 0.000 Ru
```

Results
Formation energy (eV/atom): 0.04
Total magnetization (μB per cell): 0.00



Density functional theory data (PBE-GGA) for an optimized crystal structure of Cr5Ru.

```
Cr5Ru
1.0
2.900 0.000 0.000
0.000 4.138 0.000
0.000 -2.069 6.155
Cr Ru
5 1
direct
0.500 0.173 0.346 Cr
0.000 0.665 0.331 Cr
0.500 0.827 0.654 Cr
0.000 0.335 0.669 Cr
0.500 0.500 0.000 Cr
0.000 0.000 0.000 Ru
```

Results
Excess energy over the best structure of this formula in the dataset (eV/atom): 0.000
Formation energy (eV/atom): 0.05
Total magnetization (μB per cell): 1.47